Hg5SbI2 PBE relaxed; raw total energy = -1.12 eV per atom; SG = I4mm (107); formation energy from raw total energies = -0.026 eV/atom; density of states at the Fermi level = 0.427 states/eV/atom; E above lowest polymorph = 60.8 meV per atom
1.0
6.633 0.596 -2.891
-2.635 6.115 -2.892
-0.357 -0.601 7.228
Hg Sb I
5 1 2
Direct
0.183 0.708 0.000 Hg
0.709 0.709 0.525 Hg
0.183 0.183 0.475 Hg
0.708 0.183 0.000 Hg
0.405 0.405 0.000 Hg
0.080 0.080 0.001 Sb
0.728 0.228 0.500 I
0.228 0.728 0.500 I



HgSbI3 PBE relaxed; raw total energy = -2.03 eV per atom; SG = P2_1/c (14); formation energy from raw total energies = -0.213 eV/atom; E above lowest polymorph = 35.3 meV per atom
1.0
-2.297 5.556 -4.872
-10.279 -4.731 -0.548
-1.785 7.027 8.855
Hg Sb I
4 4 12
Direct
0.838 0.443 0.775 Hg
0.162 0.557 0.225 Hg
0.338 0.557 0.725 Hg
0.662 0.443 0.275 Hg
0.253 0.102 0.456 Sb
0.747 0.898 0.544 Sb
0.753 0.898 0.044 Sb
0.247 0.102 0.956 Sb
0.083 0.073 0.680 I
0.917 0.927 0.320 I
0.583 0.927 0.820 I
0.417 0.073 0.180 I
0.573 0.190 0.552 I
0.427 0.810 0.448 I
0.073 0.810 0.948 I
0.927 0.190 0.052 I
0.104 0.320 0.436 I
0.896 0.680 0.564 I
0.604 0.680 0.064 I
0.396 0.320 0.936 I



Hg4Sb2I3 PBE relaxed; raw total energy = -1.74 eV per atom; SG = Pa-3 (205); formation energy from raw total energies = -0.176 eV/atom; E above lowest polymorph = 0.0 meV per atom
1.0
-4.236 7.849 -10.636
-11.487 3.340 7.040
6.540 10.950 5.477
Hg I Sb
32 24 16
Direct
0.029 0.006 0.249 Hg
0.471 0.994 0.749 Hg
0.971 0.506 0.251 Hg
0.529 0.494 0.751 Hg
0.249 0.029 0.006 Hg
0.749 0.471 0.994 Hg
0.251 0.971 0.506 Hg
0.751 0.529 0.494 Hg
0.006 0.249 0.029 Hg
0.994 0.749 0.471 Hg
0.506 0.251 0.971 Hg
0.494 0.751 0.529 Hg
0.971 0.994 0.751 Hg
0.529 0.006 0.251 Hg
0.029 0.494 0.749 Hg
0.471 0.506 0.249 Hg
0.751 0.971 0.994 Hg
0.251 0.529 0.006 Hg
0.749 0.029 0.494 Hg
0.249 0.471 0.506 Hg
0.994 0.751 0.971 Hg
0.006 0.251 0.529 Hg
0.494 0.749 0.029 Hg
0.506 0.249 0.471 Hg
0.778 0.222 0.722 Hg
0.722 0.778 0.222 Hg
0.222 0.722 0.778 Hg
0.278 0.278 0.278 Hg
0.222 0.778 0.278 Hg
0.278 0.222 0.778 Hg
0.778 0.278 0.222 Hg
0.722 0.722 0.722 Hg
0.237 0.185 0.567 I
0.263 0.815 0.067 I
0.763 0.685 0.933 I
0.737 0.315 0.433 I
0.567 0.237 0.185 I
0.067 0.263 0.815 I
0.933 0.763 0.685 I
0.433 0.737 0.315 I
0.185 0.567 0.237 I
0.815 0.067 0.263 I
0.685 0.933 0.763 I
0.315 0.433 0.737 I
0.763 0.815 0.433 I
0.737 0.185 0.933 I
0.237 0.315 0.067 I
0.263 0.685 0.567 I
0.433 0.763 0.815 I
0.933 0.737 0.185 I
0.067 0.237 0.315 I
0.567 0.263 0.685 I
0.815 0.433 0.763 I
0.185 0.933 0.737 I
0.315 0.067 0.237 I
0.685 0.567 0.263 I
0.892 0.108 0.608 Sb
0.608 0.892 0.108 Sb
0.108 0.608 0.892 Sb
0.392 0.392 0.392 Sb
0.108 0.892 0.392 Sb
0.392 0.108 0.892 Sb
0.892 0.392 0.108 Sb
0.608 0.608 0.608 Sb
0.559 0.059 0.441 Sb
0.941 0.941 0.941 Sb
0.441 0.559 0.059 Sb
0.059 0.441 0.559 Sb
0.441 0.941 0.559 Sb
0.059 0.059 0.059 Sb
0.559 0.441 0.941 Sb
0.941 0.559 0.441 Sb



Hg2Sb2I PBE relaxed; raw total energy = -1.90 eV per atom; SG = P4/mbm (127); formation energy from raw total energies = 0.176 eV/atom; density of states at the Fermi level = 0.394 states/eV/atom; E above lowest polymorph = 195.1 meV per atom
1.0
10.606 0.000 0.000
0.000 10.606 0.000
0.000 0.000 2.986
I Sb Hg
2 4 4
Direct
0.000 0.000 0.000 I
0.500 0.500 0.000 I
0.097 0.597 0.500 Sb
0.597 0.903 0.500 Sb
0.903 0.403 0.500 Sb
0.403 0.097 0.500 Sb
0.309 0.809 0.000 Hg
0.809 0.691 0.000 Hg
0.691 0.191 0.000 Hg
0.191 0.309 0.000 Hg



Hg2Sb2I PBE relaxed; raw total energy = -1.95 eV per atom; SG = I4/mmm (139); formation energy from raw total energies = 0.133 eV/atom; density of states at the Fermi level = 0.423 states/eV/atom; E above lowest polymorph = 152.4 meV per atom
1.0
4.365 0.000 0.000
0.000 4.365 0.000
2.183 2.183 8.097
I Sb Hg
1 2 2
Direct
0.000 0.000 0.000 I
0.750 0.250 0.500 Sb
0.250 0.750 0.500 Sb
0.404 0.404 0.192 Hg
0.596 0.596 0.808 Hg



ScHgSbI2 PBE relaxed; raw total energy = -2.32 eV per atom; SG = P4/mmm (123); formation energy from raw total energies = 0.450 eV/atom; density of states at the Fermi level = 1.029 states/eV/atom; E above lowest polymorph = 794.1 meV per atom
1.0
5.761 0.000 0.000
0.000 5.761 0.000
0.000 0.000 5.701
I Sb Sc Hg
2 1 1 1
Direct
0.000 0.500 0.000 I
0.500 0.000 0.000 I
0.000 0.000 0.500 Sb
0.500 0.500 0.500 Sc
0.000 0.000 0.000 Hg



ScHgSb2I PBE relaxed; raw total energy = -3.30 eV per atom; SG = P4/mmm (123); formation energy from raw total energies = -0.015 eV/atom; density of states at the Fermi level = 0.846 states/eV/atom; E above lowest polymorph = 0.0 meV per atom
1.0
-4.711 -2.939 -0.705
0.349 -1.825 5.279
-3.048 4.467 1.746
I Sb Sc Hg
1 2 1 1
Direct
0.000 0.000 0.500 I
0.000 0.500 0.000 Sb
0.500 0.000 0.000 Sb
0.000 0.000 0.000 Sc
0.500 0.500 0.500 Hg



ScHgSbI2 PBE relaxed; raw total energy = -3.12 eV per atom; SG = P4/mmm (123); formation energy from raw total energies = -0.345 eV/atom; density of states at the Fermi level = 0.584 states/eV/atom; E above lowest polymorph = 0.0 meV per atom
1.0
-3.750 3.455 2.501
-3.517 -0.621 -4.416
-2.460 -4.551 2.599
I Sb Sc Hg
2 1 1 1
Direct
0.000 0.500 0.000 I
0.500 0.000 0.000 I
0.000 0.000 0.500 Sb
0.000 0.000 0.000 Sc
0.500 0.500 0.500 Hg



ScHgSb2I PBE relaxed; raw total energy = -2.70 eV per atom; SG = P4/mmm (123); formation energy from raw total energies = 0.583 eV/atom; density of states at the Fermi level = 0.681 states/eV/atom; E above lowest polymorph = 597.8 meV per atom
1.0
5.439 0.000 0.000
0.000 5.439 0.000
0.000 0.000 6.017
I Sb Sc Hg
1 2 1 1
Direct
0.000 0.000 0.500 I
0.000 0.500 0.000 Sb
0.500 0.000 0.000 Sb
0.500 0.500 0.500 Sc
0.000 0.000 0.000 Hg



HgSbSeI PBE relaxed; raw total energy = -2.51 eV per atom; SG = Cm (8); formation energy from raw total energies = -0.146 eV/atom
1.0
3.994 -0.976 -0.492
1.126 3.955 -0.492
-0.934 -0.543 8.400
Hg Sb Se I
1 1 1 1
Direct
0.241 0.241 0.477 Hg
0.191 0.191 0.140 Sb
0.606 0.606 0.096 Se
0.919 0.919 0.672 I



HgSbSeI2 PBE relaxed; raw total energy = -1.51 eV per atom; SG = P4/mmm (123); formation energy from raw total energies = 0.690 eV/atom; density of states at the Fermi level = 1.223 states/eV/atom; E above lowest polymorph = 348.8 meV per atom
1.0
5.666 0.000 0.000
0.000 5.666 0.000
0.000 0.000 5.851
I Sb Hg Se
2 1 1 1
Direct
0.000 0.500 0.000 I
0.500 0.000 0.000 I
0.000 0.000 0.500 Sb
0.000 0.000 0.000 Hg
0.500 0.500 0.500 Se



HgSbSe2I PBE relaxed; raw total energy = -2.81 eV per atom; SG = P2_1/m (11); formation energy from raw total energies = -0.222 eV/atom
1.0
-5.561 0.948 0.901
-1.396 -6.591 -1.678
1.200 -1.491 8.970
Hg Sb Se I
2 2 4 2
Direct
0.250 0.716 0.971 Hg
0.750 0.284 0.029 Hg
0.250 0.656 0.407 Sb
0.750 0.344 0.593 Sb
0.750 0.663 0.471 Se
0.250 0.337 0.529 Se
0.750 0.543 0.853 Se
0.250 0.457 0.147 Se
0.250 0.009 0.801 I
0.750 0.991 0.199 I